# 1
This record from Alexandria via LeMat-Bulk describes Sc2Os after structural relaxation. The functional is GGA-PBE.

Output
Formation energy from the elements in eV/f.u.: -0.72
N(E_F) in states/eV per atom: 1.250
Magnetic moment in μB/atom: 0.000
Calculated density in g/cm3: 8.344

a = 4.4919 Å, b = 4.4919 Å, c = 3.1904 Å
α = 90.00°, β = 90.00°, γ = 120.00°
With the nearest neighbours (Å) after each atom.
Element x y z (fractional)
Sc: 0.3333 0.6667 0.2793  3 Os 2.74, 3 Sc 2.95
Os: 0.0000 0.0000 0.0000  6 Sc 2.74
Sc: 0.6667 0.3333 0.7207  3 Os 2.74, 3 Sc 2.95


# 2
This record from Alexandria via LeMat-Bulk describes Ca2Al2Bi after structural relaxation. The functional is GGA-PBE.

Output
Formation energy from the elements in eV/f.u.: -1.51
Excess energy over the best structure of this formula in the dataset in meV per atom: 0
N(E_F) in states/eV per atom: 0.693
Magnetic moment in μB/atom: 0.000
Calculated density in g/cm3: 4.129

a = 7.6508 Å, b = 7.6508 Å, c = 4.7148 Å
α = 90.00°, β = 90.00°, γ = 90.00°
With the nearest neighbours (Å) after each atom.
Element x y z (fractional)
Bi: 0.5000 0.5000 0.0000  4 Al 3.05
Ca: 0.8278 0.3278 0.5000  6 Al 3.26-3.27
Al: 0.8796 0.6204 0.0000  1 Al 2.60
Bi: 0.0000 0.0000 0.0000  4 Al 3.05
Al: 0.1204 0.3796 0.0000  1 Al 2.60
Ca: 0.6722 0.8278 0.5000  6 Al 3.26-3.27
Al: 0.3796 0.8796 0.0000  1 Al 2.60
Al: 0.6204 0.1204 0.0000  1 Al 2.60
Ca: 0.3278 0.1722 0.5000  6 Al 3.26-3.27
Ca: 0.1722 0.6722 0.5000  6 Al 3.26-3.27


# 3
This record from Alexandria via LeMat-Bulk describes BaSb2Br after structural relaxation. The functional is GGA-PBE.

Output
Excess energy over the best structure of this formula in the dataset in meV per atom: 655
Formation energy without anion corrections in eV per atom: -0.264
N(E_F) in states/eV per atom: 0.573
Magnetic moment in μB/atom: 0.000
Calculated density in g/cm3: 5.706

a = 5.9738 Å, b = 5.9738 Å, c = 3.7571 Å
α = 90.00°, β = 90.00°, γ = 90.00°
With the nearest neighbours (Å) after each atom.
Element x y z (fractional)
Br: 0.0000 0.5000 0.5000  8 Sb 3.53, 2 Br 3.76
Sb: 0.0000 0.0000 0.0000  4 Ba 3.53, 4 Br 3.53, 2 Sb 3.76
Ba: 0.5000 0.0000 0.5000  8 Sb 3.53, 2 Ba 3.76
Sb: 0.5000 0.5000 0.0000  4 Br 3.53, 4 Ba 3.53, 2 Sb 3.76


# 4
This record from Alexandria via LeMat-Bulk describes KCaMn2 after structural relaxation. The functional is GGA-PBE.

Output
Formation energy from the elements in eV/f.u.: 3.10
Excess energy over the best structure of this formula in the dataset in meV per atom: 131
N(E_F) in states/eV per atom: 1.138
Magnetic moment in μB/atom: 2.042
Calculated density in g/cm3: 2.454

a = 3.9871 Å, b = 3.9871 Å, c = 8.0478 Å
α = 90.00°, β = 90.00°, γ = 90.00°
With the nearest neighbours (Å) after each atom.
Element x y z (fractional)
Mn: 0.0000 0.0000 0.0804  1 Mn 2.73
Mn: 0.0000 0.0000 0.4196  1 Mn 2.73
Ca: 0.5000 0.5000 0.2500  8 Mn 3.13
K: 0.5000 0.5000 0.7500  8 Mn 3.88, 4 K 3.99, 2 Ca 4.02


| no. | E_tot (eV/atom) |
| --- | --- |
| 1 | -8.2038 |
| 2 | -3.3758 |
| 3 | -3.2246 |
| 4 | -4.5840 |